[1]
First-principles (PBE-GGA) data for a geometry-optimized CaNd3Sm6Dy2 structure, as listed in Alexandria via LeMat-Bulk.

SG = C2/m
E_tot = -4.443 eV/atom

Structure (POSCAR):
```
CaNd3Sm6Dy2
1.0
3.1627 -5.4810 0.0000
3.1627 5.4810 0.0000
-2.1026 0.0000 11.8451
Ca Nd Sm Dy
1 3 6 2
Cartesian
0.0000 0.0000 0.0000
2.1113 3.6610 5.9225
2.1113 0.0000 5.9225
2.1113 -3.6610 5.9225
1.0839 1.8662 2.9509
0.0425 0.0000 8.8898
1.0839 -1.8662 2.9509
3.1388 1.8662 8.8942
4.1802 0.0000 2.9552
3.1388 -1.8662 8.8942
3.1627 1.8279 0.0000
3.1627 -1.8279 0.0000
```

[2]
First-principles (PBE-GGA) data for a geometry-optimized Tb5ErHg4 structure, as listed in Alexandria via LeMat-Bulk.

SG = P4/mmm
E_tot = -3.259 eV/atom

Structure (POSCAR):
```
Tb5ErHg4
1.0
3.6870 0.0000 0.0000
0.0000 3.6870 0.0000
0.0000 0.0000 20.1106
Tb Er Hg
5 1 4
Cartesian
0.0000 0.0000 0.0000
0.0000 0.0000 3.8032
0.0000 0.0000 7.6337
0.0000 0.0000 12.4769
0.0000 0.0000 16.3074
1.8435 1.8435 10.0553
1.8435 1.8435 1.9088
1.8435 1.8435 5.7612
1.8435 1.8435 14.3495
1.8435 1.8435 18.2019
```

[3]
First-principles (PBE-GGA) data for a geometry-optimized FeSe3Br structure, as listed in Alexandria via LeMat-Bulk.

ΔE to the lowest computed polymorph = 4.19 eV/f.u.
SG = Pm-3m
Raw formation energy = 1.261 eV/atom

Structure (POSCAR):
```
FeSe3Br
1.0
5.1338 0.0000 0.0000
0.0000 5.1338 0.0000
0.0000 0.0000 5.1338
Fe Se Br
1 3 1
Cartesian
0.0000 0.0000 0.0000
0.0000 2.5669 2.5669
2.5669 0.0000 2.5669
2.5669 2.5669 0.0000
2.5669 2.5669 2.5669
```

[4]
First-principles (PBE-GGA) data for a geometry-optimized Co3AsH structure, as listed in Alexandria via LeMat-Bulk.

ΔE to the lowest computed polymorph = 0.00 eV/f.u.
SG = Pm-3m

Structure (POSCAR):
```
Co3AsH
1.0
3.5984 0.0000 0.0000
0.0000 3.5984 0.0000
0.0000 0.0000 3.5984
Co As H
3 1 1
Cartesian
0.0000 0.0000 1.7992
0.0000 1.7992 0.0000
1.7992 0.0000 0.0000
1.7992 1.7992 1.7992
0.0000 0.0000 0.0000
```

[5]
First-principles (PBE-GGA) data for a geometry-optimized Pr8Zn2Ru structure, as listed in Alexandria via LeMat-Bulk.

ΔE to the lowest computed polymorph = 0.00 eV/f.u.
SG = C2/m

Structure (POSCAR):
```
Pr8Zn2Ru
1.0
9.0995 -2.6260 0.0000
9.0995 2.6260 0.0000
-1.3972 0.0000 6.8592
Pr Zn Ru
8 2 1
Cartesian
0.0935 0.0000 1.9550
2.5149 0.0000 5.5824
5.5001 0.0000 3.7141
7.3785 0.0000 0.4386
9.4233 0.0000 6.4205
11.3017 0.0000 3.1451
14.2869 0.0000 1.2768
16.7083 0.0000 4.9042
3.1826 0.0000 1.6268
13.6192 0.0000 5.2323
8.4009 0.0000 3.4296
```

[6]
First-principles (PBE-GGA) data for a geometry-optimized Ni2Pd8Au structure, as listed in Alexandria via LeMat-Bulk.

ΔE to the lowest computed polymorph = 0.00 eV/f.u.
SG = C2/m

Structure (POSCAR):
```
Ni2Pd8Au
1.0
7.0058 -1.9652 0.0000
7.0058 1.9652 0.0000
-1.7841 0.0000 5.9883
Ni Pd Au
2 8 1
Cartesian
2.9431 0.0000 0.8222
9.2844 0.0000 5.1661
0.2808 0.0000 1.3499
0.7729 0.0000 4.2153
3.3832 0.0000 3.4905
5.5494 0.0000 0.2032
6.6780 0.0000 5.7851
8.8442 0.0000 2.4978
11.4545 0.0000 1.7730
11.9466 0.0000 4.6383
6.1137 0.0000 2.9941
```